Material: AcLa12Cd6
Method: DFT, GGA-PBE
State: optimized geometry

abc: 8.5360 8.5360 8.5360
angles: 88.78 88.78 88.78
Closest atoms and distances in Å follow each position.
Sites, in units of the cell vectors:
Ac1 0.0000 0.0000 0.0000  6 Cd 3.32, 6 La 3.69
La1 0.0501 0.1573 0.3952  4 La 3.31-3.65, 3 Cd 3.33-3.68, 1 Ac 3.69
La2 0.1573 0.3952 0.0501  4 La 3.31-3.65, 3 Cd 3.33-3.68, 1 Ac 3.69
La3 0.1864 0.4669 0.5704  4 La 3.31-3.66, 4 Cd 3.33-3.60
La4 0.3952 0.0501 0.1573  4 La 3.31-3.65, 3 Cd 3.33-3.68, 1 Ac 3.69
La5 0.4296 0.8136 0.5331  4 La 3.31-3.66, 4 Cd 3.33-3.60
La6 0.4669 0.5704 0.1864  4 La 3.31-3.66, 4 Cd 3.33-3.60
La7 0.5331 0.4296 0.8136  4 La 3.31-3.66, 4 Cd 3.33-3.60
La8 0.5704 0.1864 0.4669  4 La 3.31-3.66, 4 Cd 3.33-3.60
La9 0.6048 0.9499 0.8427  4 La 3.31-3.65, 3 Cd 3.33-3.68, 1 Ac 3.69
La10 0.8136 0.5331 0.4296  4 La 3.31-3.66, 4 Cd 3.33-3.60
La11 0.8427 0.6048 0.9499  4 La 3.31-3.65, 3 Cd 3.33-3.68, 1 Ac 3.69
La12 0.9499 0.8427 0.6048  4 La 3.31-3.65, 3 Cd 3.33-3.68, 1 Ac 3.69
Cd1 0.1193 0.7383 0.2672  1 Ac 3.32, 7 La 3.33-3.68, 2 Cd 3.49
Cd2 0.2617 0.7328 0.8807  1 Ac 3.32, 7 La 3.33-3.68, 2 Cd 3.49
Cd3 0.2672 0.1193 0.7383  1 Ac 3.32, 7 La 3.33-3.68, 2 Cd 3.49
Cd4 0.7328 0.8807 0.2617  1 Ac 3.32, 7 La 3.33-3.68, 2 Cd 3.49
Cd5 0.7383 0.2672 0.1193  1 Ac 3.32, 7 La 3.33-3.68, 2 Cd 3.49
Cd6 0.8807 0.2617 0.7328  1 Ac 3.32, 7 La 3.33-3.68, 2 Cd 3.49

Summary:
The density of states at the Fermi level comes out at 27.17 states/eV/f.u. The value obtained for the formation energy is -118 meV per atom. For the raw total energy, the calculation gives -3.735 eV/atom. The space group is R-3.



Material: Ac3La2Cd2
Method: DFT, GGA-PBE
State: optimized geometry

abc: 13.9863 13.9863 3.8403
angles: 90.00 90.00 160.59
Closest atoms and distances in Å follow each position.
Sites, in units of the cell vectors:
Ac1 0.0000 0.0000 0.0000  8 Cd 3.63, 4 Ac 3.77-3.84
Ac2 0.1367 0.8633 0.0000  4 Cd 3.53, 4 La 3.74, 3 Ac 3.77-3.84
Ac3 0.8633 0.1367 0.0000  4 Cd 3.53, 4 La 3.74, 3 Ac 3.77-3.84
La1 0.2845 0.7155 0.5000  2 La 3.03
La2 0.7155 0.2845 0.5000  2 La 3.03
Cd1 0.4281 0.5719 0.5000  8 Ac 3.53-3.63, 2 Cd 3.84
Cd2 0.5719 0.4281 0.5000  8 Ac 3.53-3.63, 2 Cd 3.84

Summary:
The density of states at the Fermi level comes out at 9.51 states/eV/f.u. The value obtained for the formation energy is -49 meV per atom. For the raw total energy, the calculation gives -3.479 eV/atom. The space group is Cmmm.



Material: AcLa8Cd2
Method: DFT, GGA-PBE
State: optimized geometry

abc: 9.2221 9.2221 8.6796
angles: 112.50 112.50 34.89
Closest atoms and distances in Å follow each position.
Sites, in units of the cell vectors:
Ac1 0.0000 0.0000 0.0000  12 La 3.54-3.88
La1 0.1034 0.1034 0.4710  3 Cd 3.38-3.58, 1 Ac 3.75, 2 La 3.77
La2 0.1918 0.1918 0.9584  1 Cd 3.26, 3 La 3.34-3.59, 1 Ac 3.54
La3 0.3486 0.3486 0.7916  3 Cd 3.38-3.50, 5 La 3.59-3.75, 2 Ac 3.76
La4 0.4514 0.4514 0.2606  1 Cd 3.48, 7 La 3.71-3.81, 2 Ac 3.88
La5 0.5486 0.5486 0.7394  1 Cd 3.48, 7 La 3.71-3.81, 2 Ac 3.88
La6 0.6514 0.6514 0.2084  3 Cd 3.38-3.50, 5 La 3.59-3.75, 2 Ac 3.76
La7 0.8082 0.8082 0.0416  1 Cd 3.26, 3 La 3.34-3.59, 1 Ac 3.54
La8 0.8966 0.8966 0.5290  3 Cd 3.38-3.58, 1 Ac 3.75, 2 La 3.77
Cd1 0.2810 0.2810 0.3677  8 La 3.26-3.58
Cd2 0.7190 0.7190 0.6323  8 La 3.26-3.58

Summary:
The density of states at the Fermi level comes out at 16.04 states/eV/f.u. The value obtained for the formation energy is -85 meV per atom. For the raw total energy, the calculation gives -4.209 eV/atom. The space group is C2/m.